Entry 1:
The following is a DFT calculation (PBE) of Ce3AlAs2Rh9 after structural relaxation.

Summary:
volume: 20.32 Å³/atom
calculated formation energy: -0.464 eV per atom
symmetry: No. 164

Geometry as POSCAR:
```
Ce3AlAs2Rh9
1.0
-5.0768 3.2498 -2.7049
-0.4801 -2.3384 6.1606
2.9215 6.9487 2.8652
Ce Rh As Al
3 9 2 1
Direct
0.6667 0.3333 0.2761
0.3333 0.6667 0.7239
0.0000 0.0000 0.0000
0.1373 0.2747 0.2655
0.2747 0.1373 0.7345
0.5000 0.5000 0.0000
0.1373 0.8627 0.2655
0.7253 0.8627 0.2655
0.0000 0.5000 0.0000
0.8627 0.1373 0.7345
0.8627 0.7253 0.7345
0.5000 0.0000 0.0000
0.3333 0.6667 0.2025
0.6667 0.3333 0.7975
0.0000 0.0000 0.5000
```

Entry 2:
The following is a DFT calculation (PBE) of CeAlAs2Rh5 after structural relaxation.

Summary:
volume: 18.84 Å³/atom
calculated formation energy: -0.604 eV per atom
symmetry: No. 123

Geometry as POSCAR:
```
CeAlAs2Rh5
1.0
4.0731 0.0000 0.0000
0.0000 4.0731 0.0000
0.0000 0.0000 10.2201
Rh As Al Ce
5 2 1 1
Direct
0.5000 0.0000 0.8545
0.0000 0.5000 0.1455
0.5000 0.5000 0.5000
0.0000 0.5000 0.8545
0.5000 0.0000 0.1455
0.5000 0.5000 0.7334
0.5000 0.5000 0.2666
0.0000 0.0000 0.0000
0.0000 0.0000 0.5000
```

Entry 3:
The following is a DFT calculation (PBE) of AlAs2Cl after structural relaxation.

Summary:
excess energy over the best structure of this formula in the dataset: 0.660 eV/atom
volume: 18.87 Å³/atom
symmetry: No. 225

Geometry as POSCAR:
```
AlAs2Cl
1.0
0.0000 3.3541 3.3541
3.3541 0.0000 3.3541
3.3541 3.3541 0.0000
Cl Al As
1 1 2
Direct
0.5000 0.5000 0.5000
0.0000 0.0000 0.0000
0.7500 0.7500 0.7500
0.2500 0.2500 0.2500
```

Entry 4:
The following is a DFT calculation (PBE) of AlAs2Cl after structural relaxation.

Summary:
excess energy over the best structure of this formula in the dataset: 0.441 eV/atom
volume: 20.73 Å³/atom
symmetry: No. 139

Geometry as POSCAR:
```
AlAs2Cl
1.0
-4.5457 0.8646 1.1103
1.2254 -4.4598 1.1188
-0.5563 -0.5955 4.6859
Cl Al As
1 1 2
Direct
0.5000 0.0000 0.5000
0.0000 0.5000 0.5000
0.0000 0.0000 0.0000
0.5000 0.5000 0.0000
```

Entry 5:
The following is a DFT calculation (PBE) of AlAsCl3 after structural relaxation.

Summary:
excess energy over the best structure of this formula in the dataset: 0.000 eV/atom
volume: 23.35 Å³/atom
symmetry: No. 221

Geometry as POSCAR:
```
AlAsCl3
1.0
4.8871 0.0000 0.0000
0.0000 4.8871 0.0000
0.0000 0.0000 4.8871
As Cl Al
1 3 1
Direct
0.5000 0.5000 0.5000
0.0000 0.5000 0.0000
0.5000 0.0000 0.0000
0.0000 0.0000 0.5000
0.0000 0.0000 0.0000
```

Entry 6:
The following is a DFT calculation (PBE) of AlAs2Cl after structural relaxation.

Summary:
excess energy over the best structure of this formula in the dataset: 0.520 eV/atom
volume: 22.71 Å³/atom
symmetry: No. 123

Geometry as POSCAR:
```
AlAs2Cl
1.0
6.5045 0.0000 0.0000
0.0000 3.7367 0.0000
0.0000 0.0000 3.7367
Cl Al As
1 1 2
Direct
0.5000 0.5000 0.0000
0.5000 0.0000 0.5000
0.0000 0.5000 0.5000
0.0000 0.0000 0.0000
```

Entry 7:
The following is a DFT calculation (PBE) of AlAs2Cl after structural relaxation.

Summary:
excess energy over the best structure of this formula in the dataset: 0.128 eV/atom
volume: 24.80 Å³/atom
symmetry: No. 8

Geometry as POSCAR:
```
AlAs2Cl
1.0
-0.1342 -3.0066 5.5788
2.6906 -1.9933 5.3821
-1.1854 4.0052 3.6103
Al As Cl
1 2 1
Direct
0.2558 0.2558 0.3588
0.8914 0.8914 0.0077
0.7473 0.7473 0.7626
0.6055 0.6055 0.3709
```

Entry 8:
The following is a DFT calculation (PBE) of AlAs2Cl after structural relaxation.

Summary:
excess energy over the best structure of this formula in the dataset: 0.369 eV/atom
volume: 21.67 Å³/atom
symmetry: No. 122

Geometry as POSCAR:
```
AlAs2Cl
1.0
-3.6885 -1.2257 0.7927
1.3646 -2.1302 3.0555
-2.6016 6.9689 8.5956
Al As Cl
2 4 2
Direct
0.5000 0.5000 0.0000
0.2500 0.7500 0.5000
0.5650 0.1250 0.2500
0.8750 0.8150 0.7500
0.3750 0.4350 0.7500
0.1850 0.6250 0.2500
0.7500 0.2500 0.5000
0.0000 0.0000 0.0000
```

Entry 9:
The following is a DFT calculation (PBE) of AlAs2Cl after structural relaxation.

Summary:
excess energy over the best structure of this formula in the dataset: 0.593 eV/atom
volume: 19.53 Å³/atom
symmetry: No. 47

Geometry as POSCAR:
```
AlAs2Cl
1.0
-1.5078 -2.1923 1.4122
-2.1971 -1.2467 -4.2812
3.8842 -3.3307 -1.0235
As Al Cl
2 1 1
Direct
0.5000 0.5000 0.0000
0.0000 0.0000 0.0000
0.0000 0.5000 0.5000
0.5000 0.0000 0.5000
```

Entry 10:
The following is a DFT calculation (PBE) of AlAs2Cl after structural relaxation.

Summary:
excess energy over the best structure of this formula in the dataset: 0.000 eV/atom
volume: 21.83 Å³/atom
symmetry: No. 65

Geometry as POSCAR:
```
AlAs2Cl
1.0
-3.7652 0.3216 1.5941
-0.3884 -5.1231 0.1163
1.3830 -3.0671 3.8854
Al As Cl
1 2 1
Direct
0.5000 0.7500 0.7500
0.0000 0.5713 0.5714
0.0000 0.9287 0.9286
0.5000 0.2500 0.2500
```

Entry 11:
The following is a DFT calculation (PBE) of AlAs2Cl after structural relaxation.

Summary:
excess energy over the best structure of this formula in the dataset: 0.322 eV/atom
volume: 24.48 Å³/atom
symmetry: No. 35

Geometry as POSCAR:
```
AlAs2Cl
1.0
3.5025 -0.0310 0.0000
-1.7311 3.0450 0.0000
0.0000 0.0000 9.2281
As Cl Al
2 1 1
Direct
0.5000 0.5000 0.1681
0.0000 0.0000 0.9775
0.0000 0.0000 0.5858
0.5000 0.5000 0.7685
```

Entry 12:
The following is a DFT calculation (PBE) of AlAs2Cl after structural relaxation.

Summary:
excess energy over the best structure of this formula in the dataset: 0.541 eV/atom
volume: 19.30 Å³/atom
symmetry: No. 166

Geometry as POSCAR:
```
AlAs2Cl
1.0
8.7189 -0.0482 -0.0284
8.1361 3.1344 -0.0284
8.1361 1.4898 2.7579
As Al Cl
2 1 1
Direct
0.0057 0.0057 0.0057
0.4943 0.4943 0.4943
0.7500 0.7500 0.7500
0.2500 0.2500 0.2500
```

Entry 13:
The following is a DFT calculation (PBE) of AlAs2Cl after structural relaxation.

Summary:
excess energy over the best structure of this formula in the dataset: 0.343 eV/atom
volume: 19.66 Å³/atom
symmetry: No. 71

Geometry as POSCAR:
```
AlAs2Cl
1.0
6.0942 -0.0160 0.0055
3.5554 4.9497 -0.0055
-4.3714 -3.3537 2.6045
As Al Cl
2 1 1
Direct
0.4577 0.4577 0.0000
0.0423 0.0423 0.0000
0.2500 0.7500 0.5000
0.7500 0.2500 0.5000
```

Entry 14:
The following is a DFT calculation (PBE) of AlAs2Cl after structural relaxation.

Summary:
excess energy over the best structure of this formula in the dataset: 0.679 eV/atom
volume: 19.13 Å³/atom
symmetry: No. 123

Geometry as POSCAR:
```
AlAs2Cl
1.0
4.9866 0.0000 0.0000
0.0000 4.9866 0.0000
0.0000 0.0000 3.0768
Al As Cl
1 2 1
Direct
0.0000 0.5000 0.5000
0.0000 0.0000 0.0000
0.5000 0.5000 0.0000
0.5000 0.0000 0.5000
```

Entry 15:
The following is a DFT calculation (PBE) of AlAs2Cl after structural relaxation.

Summary:
excess energy over the best structure of this formula in the dataset: 0.349 eV/atom
volume: 24.53 Å³/atom
symmetry: No. 44

Geometry as POSCAR:
```
AlAs2Cl
1.0
-0.7032 4.1211 -3.8435
-5.0383 -1.8311 -1.8741
2.7584 2.3512 4.3719
As Al Cl
2 1 1
Direct
0.8046 0.3046 0.5000
0.0089 0.0089 0.0000
0.2465 0.7465 0.5000
0.4400 0.4400 0.0000
```

Entry 16:
The following is a DFT calculation (PBE) of AlAs2Cl after structural relaxation.

Summary:
excess energy over the best structure of this formula in the dataset: 0.543 eV/atom
volume: 21.53 Å³/atom
symmetry: No. 65

Geometry as POSCAR:
```
AlAs2Cl
1.0
6.5337 -0.3040 0.0000
-4.4555 4.7885 0.0000
0.0000 0.0000 2.8772
As Al Cl
2 1 1
Direct
0.0000 0.0000 0.0000
0.5000 0.5000 0.0000
0.0000 0.5000 0.5000
0.5000 0.0000 0.5000
```

Entry 17:
The following is a DFT calculation (PBE) of AlAs2Cl after structural relaxation.

Summary:
excess energy over the best structure of this formula in the dataset: 0.324 eV/atom
volume: 20.15 Å³/atom
symmetry: No. 12

Geometry as POSCAR:
```
AlAs2Cl
1.0
5.9498 -0.0272 0.0058
5.1227 3.0264 0.0058
1.2152 0.3292 4.4440
Al Cl As
1 1 2
Direct
0.2500 0.2500 0.2500
0.7500 0.7500 0.7500
0.9553 0.9553 0.0765
0.5447 0.5447 0.4235
```

Entry 18:
The following is a DFT calculation (PBE) of AlAs2Cl after structural relaxation.

Summary:
excess energy over the best structure of this formula in the dataset: 0.396 eV/atom
volume: 20.11 Å³/atom
symmetry: No. 123

Geometry as POSCAR:
```
AlAs2Cl
1.0
3.3639 0.0311 0.0000
-0.0332 3.3641 0.0000
0.0000 0.0000 7.1059
As Al Cl
2 1 1
Direct
0.0000 0.0000 0.9399
0.0000 0.0000 0.5601
0.5000 0.5000 0.7500
0.5000 0.5000 0.2500
```

Entry 19:
The following is a DFT calculation (PBE) of AlAs2Cl after structural relaxation.

Summary:
excess energy over the best structure of this formula in the dataset: 0.341 eV/atom
volume: 22.17 Å³/atom
symmetry: No. 38

Geometry as POSCAR:
```
AlAs2Cl
1.0
-4.0401 -0.2596 -1.9090
0.0907 -4.6202 0.4361
-1.7999 -1.4940 4.0124
As Al Cl
2 1 1
Direct
0.5000 0.1787 0.1784
0.0000 0.0035 0.0040
0.5000 0.7987 0.7981
0.0000 0.5192 0.5196
```

Entry 20:
The following is a DFT calculation (PBE) of AlAs2Cl after structural relaxation.

Summary:
excess energy over the best structure of this formula in the dataset: 0.375 eV/atom
volume: 23.70 Å³/atom
symmetry: No. 99

Geometry as POSCAR:
```
AlAs2Cl
1.0
-3.0902 1.0369 -0.5027
-0.7241 -2.8667 -1.4612
-2.3683 -3.3260 7.6987
As Cl Al
2 1 1
Direct
0.5000 0.5000 0.1662
0.0000 0.0000 0.0208
0.0000 0.0000 0.5717
0.5000 0.5000 0.7412
```

Entry 21:
The following is a DFT calculation (PBE) of AlAs2Cl after structural relaxation.

Summary:
excess energy over the best structure of this formula in the dataset: 0.560 eV/atom
volume: 19.08 Å³/atom
symmetry: No. 216

Geometry as POSCAR:
```
AlAs2Cl
1.0
-2.5623 -3.4292 2.0852
-1.6644 -3.6350 -2.5864
1.8481 -4.3541 0.5470
Cl As Al
1 2 1
Direct
0.7500 0.7500 0.7500
0.0000 0.0000 0.0000
0.2500 0.2500 0.2500
0.5000 0.5000 0.5000
```

Entry 22:
The following is a DFT calculation (PBE) of Cs2AlAsCl6 after structural relaxation.

Summary:
uncorrected energy: -3.44 eV per atom
volume: 32.20 Å³/atom
symmetry: No. 139

Geometry as POSCAR:
```
Cs2AlAsCl6
1.0
-1.5414 -3.5975 6.9708
-2.0576 -6.6699 -3.8972
2.9706 -6.7379 1.7637
Cl Cs As Al
6 2 1 1
Direct
0.2973 0.2973 0.0000
0.2973 0.7027 0.0000
0.7531 0.7531 0.4938
0.2469 0.2469 0.5062
0.7027 0.2973 0.0000
0.7027 0.7027 0.0000
0.7500 0.2500 0.5000
0.2500 0.7500 0.5000
0.0000 0.0000 0.0000
0.5000 0.5000 0.0000
```

Entry 23:
The following is a DFT calculation (PBE) of Al2InAsCl after structural relaxation.

Summary:
uncorrected energy: -3.08 eV per atom
volume: 35.47 Å³/atom
symmetry: No. 123

Geometry as POSCAR:
```
Al2InAsCl
1.0
4.8566 0.0000 0.0000
0.0000 7.5185 0.0000
0.0000 0.0000 4.8566
In Al Cl As
1 2 1 1
Direct
0.5000 0.5000 0.5000
0.0000 0.0000 0.5000
0.5000 0.0000 0.0000
0.0000 0.5000 0.0000
0.0000 0.0000 0.0000
```

Entry 24:
The following is a DFT calculation (PBE) of AlAsPCl2 after structural relaxation.

Summary:
excess energy over the best structure of this formula in the dataset: 0.000 eV/atom
volume: 21.28 Å³/atom
symmetry: No. 123

Geometry as POSCAR:
```
AlAsPCl2
1.0
-3.3004 1.1706 2.8071
-2.5628 -3.3010 -1.6365
1.9275 -3.3027 3.6435
As Al Cl P
1 1 2 1
Direct
0.5000 0.5000 0.5000
0.0000 0.0000 0.0000
0.0000 0.5000 0.0000
0.5000 0.0000 0.0000
0.0000 0.0000 0.5000
```

Entry 25:
The following is a DFT calculation (PBE) of AlAs2PCl after structural relaxation.

Summary:
uncorrected energy: -2.91 eV per atom
volume: 22.11 Å³/atom
symmetry: No. 123

Geometry as POSCAR:
```
AlAs2PCl
1.0
-4.7568 -0.1513 -0.8772
0.6646 -3.5983 -2.9836
-0.5729 -3.1295 3.6466
As Cl P Al
2 1 1 1
Direct
0.0000 0.0000 0.5000
0.5000 0.0000 0.0000
0.0000 0.0000 0.0000
0.0000 0.5000 0.0000
0.5000 0.5000 0.5000
```

Entry 26:
The following is a DFT calculation (PBE) of RbAlAs2Cl after structural relaxation.

Summary:
uncorrected energy: -3.39 eV per atom
volume: 49.05 Å³/atom
symmetry: No. 123

Geometry as POSCAR:
```
RbAlAs2Cl
1.0
4.7043 0.0000 0.0000
0.0000 11.0818 0.0000
0.0000 0.0000 4.7043
Al Cl As Rb
1 1 2 1
Direct
0.0000 0.0000 0.0000
0.5000 0.5000 0.5000
0.5000 0.0000 0.0000
0.0000 0.0000 0.5000
0.0000 0.5000 0.0000
```

Entry 27:
The following is a DFT calculation (PBE) of Rb2AlAsCl6 after structural relaxation.

Summary:
uncorrected energy: -3.41 eV per atom
volume: 30.74 Å³/atom
symmetry: No. 139

Geometry as POSCAR:
```
Rb2AlAsCl6
1.0
-2.7425 6.7487 2.9154
-6.3021 -0.5560 -4.6412
-6.9307 0.5743 2.7096
Cl As Rb Al
6 1 2 1
Direct
0.7513 0.7513 0.4974
0.7068 0.7068 0.0000
0.2487 0.2487 0.5026
0.2932 0.2932 0.0000
0.7068 0.2932 0.0000
0.2932 0.7068 0.0000
0.0000 0.0000 0.0000
0.7500 0.2500 0.5000
0.2500 0.7500 0.5000
0.5000 0.5000 0.0000
```

Entry 28:
The following is a DFT calculation (PBE) of AlRe2AsCl after structural relaxation.

Summary:
uncorrected energy: -5.23 eV per atom
volume: 18.24 Å³/atom
symmetry: No. 123

Geometry as POSCAR:
```
AlRe2AsCl
1.0
-0.2515 2.7549 3.4208
-4.6410 -0.7733 0.2815
0.7257 -3.3532 2.7538
Re As Cl Al
2 1 1 1
Direct
0.5000 0.0000 0.0000
0.0000 0.0000 0.5000
0.0000 0.5000 0.0000
0.0000 0.0000 0.0000
0.5000 0.5000 0.5000
```